#P
Compound: NdSeCl
Source: the Alexandria database
Functional: PBE
Structure: relaxed

For the density of states at the Fermi level, the calculation gives 0.6 states/eV per cell. The space-group type is I4mm. As for the crystal system: tetragonal.

POSCAR file:
```
NdSeCl
1.0
-1.941 1.941 4.769
1.941 -1.941 4.769
1.941 1.941 -4.769
Nd Se Cl
1 1 1
Direct
0.000 0.000 0.000
0.357 0.357 0.000
0.672 0.672 0.000
```

#Q
Compound: NdSeCl
Source: the Alexandria database
Functional: PBE
Structure: relaxed

The space-group type is P-1. As for the crystal system: triclinic.

POSCAR file:
```
NdSeCl
1.0
3.925 0.000 0.000
0.000 4.378 0.000
-0.088 -0.040 11.004
Nd Se Cl
2 2 2
Direct
0.246 0.248 0.324
0.754 0.752 0.676
0.252 0.251 0.602
0.748 0.749 0.398
0.258 0.754 0.855
0.742 0.246 0.145
```

#R
Compound: NdSeCl
Source: the Alexandria database
Functional: PBE
Structure: relaxed

For the density of states at the Fermi level, the calculation gives 0.1 states/eV per cell. The space-group type is P3m1. As for the crystal system: trigonal.

POSCAR file:
```
NdSeCl
1.0
4.689 0.000 0.000
-2.344 4.061 0.000
0.000 0.000 4.066
Nd Se Cl
1 1 1
Direct
0.000 0.000 0.000
0.667 0.333 0.502
0.333 0.667 0.003
```

Stability check: which of them is least stable? #P.

#P
Compound: NdSeCl
Source: the Alexandria database
Functional: PBE
Structure: relaxed

The space-group type is I-4m2. As for the crystal system: tetragonal.

POSCAR file:
```
NdSeCl
1.0
-2.042 2.042 11.048
2.042 -2.042 11.048
2.042 2.042 -11.048
Nd Se Cl
2 2 2
Direct
0.159 0.159 0.000
0.841 0.841 0.000
0.299 0.299 0.000
0.701 0.701 0.000
0.572 0.072 0.500
0.928 0.428 0.500
```

#Q
Compound: NdSeCl
Source: the Alexandria database
Functional: PBE
Structure: relaxed

For the density of states at the Fermi level, the calculation gives 0.0 states/eV per cell. The space-group type is Pnma. As for the crystal system: orthorhombic.

POSCAR file:
```
NdSeCl
1.0
13.930 0.000 0.000
0.000 4.477 0.000
0.000 0.000 5.698
Nd Se Cl
4 4 4
Direct
0.150 0.250 0.039
0.350 0.750 0.539
0.650 0.250 0.461
0.850 0.750 0.961
0.212 0.250 0.540
0.288 0.750 0.040
0.712 0.250 0.960
0.788 0.750 0.460
0.032 0.750 0.210
0.468 0.250 0.710
0.532 0.750 0.290
0.968 0.250 0.790
```

#R
Compound: NdSeCl
Source: the Alexandria database
Functional: PBE
Structure: relaxed

For the density of states at the Fermi level, the calculation gives 0.0 states/eV per cell. The space-group type is F-43m. As for the crystal system: cubic.

POSCAR file:
```
NdSeCl
1.0
0.000 3.480 3.480
3.480 0.000 3.480
3.480 3.480 0.000
Nd Se Cl
1 1 1
Direct
0.000 0.000 0.000
0.750 0.750 0.750
0.250 0.250 0.250
```

Stability check: which of them is least stable? #R.

#P
Compound: Nd2Se2Cl
Source: the Alexandria database
Functional: PBE
Structure: relaxed

For the density of states at the Fermi level, the calculation gives 3.9 states/eV per cell. The space-group type is C2/m. As for the crystal system: monoclinic.

POSCAR file:
```
Nd2Se2Cl
1.0
6.730 -2.955 0.000
6.730 2.955 0.000
-3.104 0.000 7.745
Nd Se Cl
4 4 2
Direct
0.009 0.009 0.247
0.336 0.336 0.922
0.664 0.664 0.078
0.991 0.991 0.753
0.174 0.174 0.096
0.487 0.487 0.738
0.513 0.513 0.262
0.826 0.826 0.904
0.151 0.151 0.600
0.849 0.849 0.400
```

#Q
Compound: Nd2Se2Cl
Source: the Alexandria database
Functional: PBE
Structure: relaxed

For the density of states at the Fermi level, the calculation gives 2.2 states/eV per cell. The space-group type is Immm. As for the crystal system: orthorhombic.

POSCAR file:
```
Nd2Se2Cl
1.0
-2.096 2.928 6.187
2.096 -2.928 6.187
2.096 2.928 -6.187
Nd Se Cl
2 2 1
Direct
0.172 0.172 0.000
0.828 0.828 0.000
0.336 0.836 0.500
0.664 0.164 0.500
0.000 0.500 0.500
```

Stability check: which of them is least stable? #Q.

#P
Compound: Nd3Se2Cl
Source: the Alexandria database
Functional: PBE
Structure: relaxed

For the density of states at the Fermi level, the calculation gives 6.7 states/eV per cell. The space-group type is P6_3/mmc. As for the crystal system: hexagonal.

POSCAR file:
```
Nd3Se2Cl
1.0
4.053 0.000 0.000
-2.026 3.510 0.000
0.000 0.000 22.325
Nd Se Cl
6 4 2
Direct
0.000 0.000 0.000
0.000 0.000 0.500
0.333 0.667 0.159
0.333 0.667 0.341
0.667 0.333 0.659
0.667 0.333 0.841
0.333 0.667 0.581
0.333 0.667 0.919
0.667 0.333 0.081
0.667 0.333 0.419
0.000 0.000 0.250
0.000 0.000 0.750
```

#Q
Compound: Nd3Se2Cl
Source: the Alexandria database
Functional: PBE
Structure: relaxed

For the density of states at the Fermi level, the calculation gives 3.6 states/eV per cell. The space-group type is Immm. As for the crystal system: orthorhombic.

POSCAR file:
```
Nd3Se2Cl
1.0
-2.173 2.961 6.145
2.173 -2.961 6.145
2.173 2.961 -6.145
Nd Se Cl
3 2 1
Direct
0.000 0.000 0.000
0.320 0.320 0.000
0.680 0.680 0.000
0.162 0.662 0.500
0.838 0.338 0.500
0.500 0.000 0.500
```

Stability check: which of them is least stable? #P.

#P
Compound: Nd3SiCl2
Source: the Alexandria database
Functional: PBE
Structure: relaxed

For the density of states at the Fermi level, the calculation gives 5.2 states/eV per cell. The space-group type is C2/m. As for the crystal system: monoclinic.

POSCAR file:
```
Nd3SiCl2
1.0
3.638 -6.312 0.000
3.638 6.312 0.000
-2.428 0.000 6.863
Nd Si Cl
6 2 4
Direct
0.077 0.424 0.772
0.230 0.230 0.226
0.424 0.077 0.772
0.576 0.923 0.228
0.770 0.770 0.774
0.923 0.576 0.228
0.167 0.833 0.000
0.833 0.167 0.000
0.000 0.000 0.500
0.332 0.668 0.500
0.500 0.500 0.000
0.668 0.332 0.500
```

#Q
Compound: Nd3SiCl2
Source: the Alexandria database
Functional: PBE
Structure: relaxed

For the density of states at the Fermi level, the calculation gives 3.3 states/eV per cell. The space-group type is Immm. As for the crystal system: orthorhombic.

POSCAR file:
```
Nd3SiCl2
1.0
-2.148 2.916 6.184
2.148 -2.916 6.184
2.148 2.916 -6.184
Nd Si Cl
3 1 2
Direct
0.000 0.000 0.000
0.346 0.346 0.000
0.654 0.654 0.000
0.500 0.000 0.500
0.165 0.665 0.500
0.835 0.335 0.500
```

Stability check: which of them is least stable? #Q.

#P
Compound: NdSmCl
Source: the Alexandria database
Functional: PBE
Structure: relaxed

For the density of states at the Fermi level, the calculation gives 12.0 states/eV per cell. The space-group type is Cc. As for the crystal system: monoclinic.

POSCAR file:
```
NdSmCl
1.0
9.579 -2.905 0.000
9.579 2.905 0.000
-9.328 0.000 9.629
Nd Sm Cl
6 6 6
Direct
0.008 0.502 0.352
0.109 0.585 0.848
0.237 0.763 0.500
0.502 0.008 0.852
0.585 0.109 0.348
0.763 0.237 0.000
0.030 0.620 0.113
0.317 0.729 0.811
0.340 0.844 0.189
0.620 0.030 0.613
0.729 0.317 0.311
0.844 0.340 0.689
0.117 0.518 0.611
0.233 0.829 0.323
0.518 0.117 0.111
0.671 0.675 0.101
0.675 0.671 0.601
0.829 0.233 0.823
```

#Q
Compound: NdSmCl
Source: the Alexandria database
Functional: PBE
Structure: relaxed

For the density of states at the Fermi level, the calculation gives 3.6 states/eV per cell. The space-group type is P3m1. As for the crystal system: trigonal.

POSCAR file:
```
NdSmCl
1.0
3.778 0.000 0.000
-1.889 3.272 0.000
0.000 0.000 7.259
Nd Sm Cl
1 1 1
Direct
0.000 0.000 0.000
0.333 0.667 0.612
0.667 0.333 0.313
```

Stability check: which of them is least stable? #P.

#P
Compound: NdSmCl6
Source: the Alexandria database
Functional: PBE
Structure: relaxed

For the density of states at the Fermi level, the calculation gives 0.0 states/eV per cell. The space-group type is P-1. As for the crystal system: triclinic.

POSCAR file:
```
NdSmCl6
1.0
6.901 0.000 0.000
3.448 5.979 0.000
3.450 1.987 6.324
Nd Sm Cl
1 1 6
Direct
0.000 0.000 0.000
0.500 0.500 0.500
0.104 0.400 0.748
0.252 0.895 0.252
0.400 0.748 0.748
0.600 0.252 0.252
0.748 0.105 0.748
0.896 0.600 0.252
```

#Q
Compound: NdSmCl6
Source: the Alexandria database
Functional: PBE
Structure: relaxed

For the density of states at the Fermi level, the calculation gives 0.0 states/eV per cell. The space-group type is C2/m. As for the crystal system: monoclinic.

POSCAR file:
```
NdSmCl6
1.0
3.532 -6.103 0.000
3.532 6.103 0.000
-0.577 0.000 7.396
Nd Sm Cl
1 1 6
Direct
0.000 0.000 0.000
0.000 0.000 0.500
0.000 0.289 0.264
0.000 0.711 0.736
0.289 0.000 0.264
0.289 0.289 0.767
0.711 0.000 0.736
0.711 0.711 0.233
```

Stability check: which of them is least stable? #Q.

#P
Compound: Nd2TcCl
Source: the Alexandria database
Functional: PBE
Structure: relaxed

For the density of states at the Fermi level, the calculation gives 2.2 states/eV per cell. The space-group type is P4/mmm. As for the crystal system: tetragonal.

POSCAR file:
```
Nd2TcCl
1.0
3.492 0.000 0.000
0.000 3.492 0.000
0.000 0.000 8.014
Nd Tc Cl
2 1 1
Direct
0.000 0.000 0.215
0.000 0.000 0.785
0.500 0.500 0.000
0.500 0.500 0.500
```

#Q
Compound: Nd2TcCl
Source: the Alexandria database
Functional: PBE
Structure: relaxed

For the density of states at the Fermi level, the calculation gives 3.0 states/eV per cell. The space-group type is R-3m. As for the crystal system: trigonal.

POSCAR file:
```
Nd2TcCl
1.0
1.662 0.960 10.130
-1.662 0.960 10.130
0.000 -1.920 10.130
Nd Tc Cl
2 1 1
Direct
0.089 0.089 0.089
0.911 0.911 0.911
0.000 0.000 0.000
0.500 0.500 0.500
```

Stability check: which of them is least stable? #Q.

#P
Compound: Nd2TeCl
Source: the Alexandria database
Functional: PBE
Structure: relaxed

For the density of states at the Fermi level, the calculation gives 4.2 states/eV per cell. The space-group type is Fm-3m. As for the crystal system: cubic.

POSCAR file:
```
Nd2TeCl
1.0
0.000 3.757 3.757
3.757 0.000 3.757
3.757 3.757 0.000
Nd Te Cl
2 1 1
Direct
0.250 0.250 0.250
0.750 0.750 0.750
0.000 0.000 0.000
0.500 0.500 0.500
```

#Q
Compound: Nd2TeCl
Source: the Alexandria database
Functional: PBE
Structure: relaxed

For the density of states at the Fermi level, the calculation gives 4.4 states/eV per cell. The space-group type is R3m. As for the crystal system: trigonal.

POSCAR file:
```
Nd2TeCl
1.0
2.012 1.161 8.180
-2.012 1.161 8.180
0.000 -2.323 8.180
Nd Te Cl
2 1 1
Direct
0.000 0.000 0.000
0.163 0.163 0.163
0.582 0.582 0.582
0.748 0.748 0.748
```

Stability check: which of them is least stable? #Q.

#P
Compound: Nd2TeCl
Source: the Alexandria database
Functional: PBE
Structure: relaxed

For the density of states at the Fermi level, the calculation gives 3.1 states/eV per cell. The space-group type is R-3m. As for the crystal system: trigonal.

POSCAR file:
```
Nd2TeCl
1.0
2.177 1.257 6.843
-2.177 1.257 6.843
0.000 -2.513 6.843
Nd Te Cl
2 1 1
Direct
0.238 0.238 0.238
0.762 0.762 0.762
0.000 0.000 0.000
0.500 0.500 0.500
```

#Q
Compound: Nd2TeCl
Source: the Alexandria database
Functional: PBE
Structure: relaxed

For the density of states at the Fermi level, the calculation gives 2.7 states/eV per cell. The space-group type is P4/mmm. As for the crystal system: tetragonal.

POSCAR file:
```
Nd2TeCl
1.0
3.778 0.000 0.000
0.000 3.778 0.000
0.000 0.000 7.413
Nd Te Cl
2 1 1
Direct
0.000 0.000 0.247
0.000 0.000 0.753
0.500 0.500 0.000
0.500 0.500 0.500
```

Stability check: which of them is least stable? #Q.

#P
Compound: Nd3TlCl
Source: the Alexandria database
Functional: PBE
Structure: relaxed

For the density of states at the Fermi level, the calculation gives 19.5 states/eV per cell. The space-group type is Pnma. As for the crystal system: orthorhombic.

POSCAR file:
```
Nd3TlCl
1.0
9.420 0.000 0.000
0.000 4.149 0.000
0.000 0.000 15.160
Nd Tl Cl
12 4 4
Direct
0.022 0.250 0.109
0.156 0.250 0.517
0.188 0.750 0.283
0.312 0.250 0.783
0.344 0.750 0.017
0.478 0.750 0.609
0.522 0.250 0.391
0.656 0.250 0.983
0.688 0.750 0.217
0.812 0.250 0.717
0.844 0.750 0.483
0.978 0.750 0.891
0.081 0.750 0.678
0.419 0.250 0.178
0.581 0.750 0.822
0.919 0.250 0.322
0.171 0.250 0.945
0.329 0.750 0.445
0.671 0.250 0.555
0.829 0.750 0.055
```

#Q
Compound: Nd3TlCl
Source: the Alexandria database
Functional: PBE
Structure: relaxed

For the density of states at the Fermi level, the calculation gives 3.0 states/eV per cell. The space-group type is Pm-3m. As for the crystal system: cubic.

POSCAR file:
```
Nd3TlCl
1.0
5.355 0.000 0.000
0.000 5.355 0.000
0.000 0.000 5.355
Nd Tl Cl
3 1 1
Direct
0.000 0.000 0.500
0.000 0.500 0.000
0.500 0.000 0.000
0.500 0.500 0.500
0.000 0.000 0.000
```

Stability check: which of them is least stable? #Q.